Record 1
Th2HgTe (PBE, relaxed); mass density = 10.6 g/cm3; energy relative to the elements, uncorrected = -0.485 eV/atom; E = -5.06 eV per atom; offset from the most stable computed form = 107 meV/atom; crystal system = trigonal; DOS at the Fermi energy = 4.14 states/eV/cell
1.0
1.995 1.152 8.994
-1.995 1.152 8.994
0.000 -2.304 8.994
Th Hg Te
2 1 1
Direct
0.000 0.000 0.000
0.170 0.170 0.170
0.419 0.419 0.419
0.585 0.585 0.585


Record 2
Th2HgTe (PBE, relaxed); mass density = 11.5 g/cm3; energy relative to the elements, uncorrected = -0.514 eV/atom; E = -5.08 eV per atom; offset from the most stable computed form = 79 meV/atom; crystal system = cubic; DOS at the Fermi energy = 5.83 states/eV/cell
1.0
0.000 3.851 3.851
3.851 0.000 3.851
3.851 3.851 0.000
Th Hg Te
2 1 1
Direct
0.250 0.250 0.250
0.750 0.750 0.750
0.000 0.000 0.000
0.500 0.500 0.500


Record 3
Th4Hg3Te (PBE, relaxed); mass density = 12.2 g/cm3; energy relative to the elements, uncorrected = -0.385 eV/atom; E = -4.60 eV per atom; crystal system = tetragonal; DOS at the Fermi energy = 8.33 states/eV/cell
1.0
3.814 0.000 0.000
0.000 3.814 0.000
0.000 0.000 15.570
Th Hg Te
4 3 1
Direct
0.000 0.000 0.124
0.000 0.000 0.375
0.000 0.000 0.625
0.000 0.000 0.876
0.500 0.500 0.000
0.500 0.500 0.246
0.500 0.500 0.754
0.500 0.500 0.500